(1)
A plane-wave DFT calculation with GGA-PBE was carried out for a relaxed structure of Pr2Dy6Y3Zr.

Output
- E_form (eV/atom) = 0.057

CIF file:
```
data_Pr2Dy6Y3Zr
_cell_length_a 6.144
_cell_length_b 10.628
_cell_length_c 11.745
_cell_angle_alpha 90.00
_cell_angle_beta 99.97
_cell_angle_gamma 90.00
_space_group_name_H-M_alt 'C 1 2/m 1'
_space_group_IT_number 12
loop_
_space_group_symop_operation_xyz
'x,y,z'
'-x,-y,-z'
'-x,y,-z'
'x,-y,z'
'x+1/2,y+1/2,z'
'-x+1/2,-y+1/2,-z'
'-x+1/2,y+1/2,-z'
'x+1/2,-y+1/2,z'
loop_
_atom_site_label
_atom_site_fract_x
_atom_site_fract_y
_atom_site_fract_z
Pr1 0.000 0.167 0.000
Dy1 0.243 0.500 0.753
Dy2 0.246 0.337 0.247
Y1 0.000 0.000 0.500
Y2 0.000 0.334 0.500
Zr1 0.000 0.500 0.000
```

=====

(2)
A plane-wave DFT calculation with GGA-PBE was carried out for a relaxed structure of BaPBr2.

Output
- energy relative to the elements, uncorrected (eV per atom) = 0.050
- excess energy over the best structure of this formula in the dataset (meV per atom) = 958

CIF file:
```
data_BaPBr2
_cell_length_a 4.6765
_cell_length_b 4.6765
_cell_length_c 25.6146
_cell_angle_alpha 90.00
_cell_angle_beta 90.00
_cell_angle_gamma 120.00
_space_group_name_H-M_alt 'R -3 m'
_space_group_IT_number 166
_space_group_name_Hall '-R 3 2"'
loop_
_atom_site_label
_atom_site_fract_x
_atom_site_fract_y
_atom_site_fract_z
Ba1 0.0000 0.0000 0.0000
P1 0.0000 0.0000 0.5000
Br1 0.0000 0.0000 0.1224
```

=====

(3)
A plane-wave DFT calculation with GGA-PBE was carried out for a relaxed structure of Al2CdAg2.

Output
- E_form (eV/atom) = 0.058
- excess energy over the best structure of this formula in the dataset (meV per atom) = 93

CIF file:
```
data_Al2CdAg2
_cell_length_a 8.109
_cell_length_b 8.109
_cell_length_c 2.840
_cell_angle_alpha 90.00
_cell_angle_beta 90.00
_cell_angle_gamma 90.00
_space_group_name_H-M_alt 'P 4/m b m'
_space_group_IT_number 127
_space_group_name_Hall '-P 4 2ab'
loop_
_atom_site_label
_atom_site_fract_x
_atom_site_fract_y
_atom_site_fract_z
Al1 0.173 0.327 0.000
Cd1 0.000 0.000 0.500
Ag1 0.127 0.627 0.500
```